1.
DFT (PBE) results for LaMo2PbC after structural relaxation.

Properties
Energy of formation in meV/atom: 556

abc: 4.323 4.323 5.360
angles: 90.00 90.00 90.00
Space group P4/mmm (No. 123)
Symmetry-distinct sites (fractional):
La  0.000  0.000  0.000 (multiplicity 1)
Mo  0.000  0.500  0.500 (multiplicity 2)
Pb  0.500  0.500  0.000 (multiplicity 1)
C  0.500  0.500  0.500 (multiplicity 1)

=====

2.
DFT (PBE) results for TiSb2PdI after structural relaxation.

Properties
Excess energy over the best structure of this formula in the dataset in meV/atom: 208
Energy relative to the elements, uncorrected in meV/atom: 639

abc: 5.184 5.184 5.423
angles: 90.00 90.00 90.00
Space group P4/mmm (No. 123)
Symmetry-distinct sites (fractional):
Ti  0.000  0.000  0.000 (multiplicity 1)
Sb  0.000  0.500  0.500 (multiplicity 2)
Pd  0.500  0.500  0.500 (multiplicity 1)
I  0.500  0.500  0.000 (multiplicity 1)

=====

3.
DFT (PBE) results for TlZnH3 after structural relaxation.

Properties
Excess energy over the best structure of this formula in the dataset in meV/atom: 0

abc: 3.906 3.906 3.906
angles: 90.00 90.00 90.00
Space group Pm-3m (No. 221)
Symmetry-distinct sites (fractional):
Tl  0.000  0.000  0.000 (multiplicity 1)
Zn  0.500  0.500  0.500 (multiplicity 1)
H  0.000  0.500  0.500 (multiplicity 3)

=====

4.
DFT (PBE) results for La8Tb6Mg after structural relaxation.

Properties
Energy of formation in meV/atom: 124

abc: 9.4109 9.4109 6.6964
angles: 90.00 90.00 120.00
Space group P-3 (No. 147)
Symmetry-distinct sites (fractional):
La  0.0456  0.2824  0.3285 (multiplicity 6)
La  0.3333  0.6667  0.3734 (multiplicity 2)
Tb  0.0991  0.4423  0.8456 (multiplicity 6)
Mg  0.0000  0.0000  0.0000 (multiplicity 1)

=====

5.
DFT (PBE) results for CoAgSe after structural relaxation.

Properties
Excess energy over the best structure of this formula in the dataset in meV/atom: 209
Energy relative to the elements, uncorrected in meV/atom: 220

abc: 5.987 5.987 5.987
angles: 90.00 90.00 90.00
Space group F-43m (No. 216)
Symmetry-distinct sites (fractional):
Co  0.000  0.000  0.000 (multiplicity 4)
Ag  0.250  0.250  0.250 (multiplicity 4)
Se  0.250  0.250  0.750 (multiplicity 4)

=====

6.
DFT (PBE) results for Rb2NaBeCu after structural relaxation.

Properties
Energy of formation in meV/atom: 807

abc: 6.490 6.490 5.509
angles: 90.00 90.00 90.00
Space group P4/mmm (No. 123)
Symmetry-distinct sites (fractional):
Rb  0.000  0.500  0.000 (multiplicity 2)
Na  0.000  0.000  0.500 (multiplicity 1)
Be  0.500  0.500  0.500 (multiplicity 1)
Cu  0.000  0.000  0.000 (multiplicity 1)

=====

7.
DFT (PBE) results for La4PuAu5 after structural relaxation.

Properties
Energy of formation in meV/atom: -702

abc: 3.741 3.741 18.868
angles: 90.00 90.00 90.00
Space group P4/mmm (No. 123)
Symmetry-distinct sites (fractional):
La  0.000  0.000  0.102 (multiplicity 2)
La  0.000  0.000  0.306 (multiplicity 2)
Pu  0.000  0.000  0.500 (multiplicity 1)
Au  0.500  0.500  0.000 (multiplicity 1)
Au  0.500  0.500  0.203 (multiplicity 2)
Au  0.500  0.500  0.405 (multiplicity 2)

=====

8.
DFT (PBE) results for AcCu2As2 after structural relaxation.

Properties
Excess energy over the best structure of this formula in the dataset in meV/atom: 0
Energy of formation in meV/atom: -648

abc: 4.498 4.498 9.728
angles: 90.00 90.00 90.00
Space group P4/nmm (No. 129, origin choice 2)
Symmetry-distinct sites (fractional):
Ac  0.250  0.250  0.249 (multiplicity 2)
Cu  0.250  0.250  0.618 (multiplicity 2)
Cu  0.250  0.750  0.000 (multiplicity 2)
As  0.250  0.250  0.870 (multiplicity 2)
As  0.250  0.750  0.500 (multiplicity 2)

=====

9.
DFT (PBE) results for Nd5Hg2Ru after structural relaxation.

Properties
Excess energy over the best structure of this formula in the dataset in meV/atom: 289
Energy of formation in meV/atom: -44

abc: 5.714 16.029 12.614
angles: 90.00 90.00 90.00
Space group Cmcm (No. 63)
Symmetry-distinct sites (fractional):
Nd  0.000  0.070  0.103 (multiplicity 8)
Nd  0.000  0.304  0.750 (multiplicity 4)
Nd  0.000  0.309  0.079 (multiplicity 8)
Hg  0.000  0.126  0.633 (multiplicity 8)
Ru  0.000  0.192  0.250 (multiplicity 4)

=====

10.
DFT (PBE) results for ReHgAs3 after structural relaxation.

Properties
Excess energy over the best structure of this formula in the dataset in meV/atom: 0
Energy of formation in meV/atom: 529

abc: 4.885 4.885 4.885
angles: 90.00 90.00 90.00
Space group Pm-3m (No. 221)
Symmetry-distinct sites (fractional):
Re  0.000  0.000  0.000 (multiplicity 1)
Hg  0.500  0.500  0.500 (multiplicity 1)
As  0.000  0.000  0.500 (multiplicity 3)

=====

11.
DFT (PBE) results for As2SeBr after structural relaxation.

Properties
Excess energy over the best structure of this formula in the dataset in meV/atom: 605
Energy relative to the elements, uncorrected in meV/atom: 563

abc: 4.897 4.897 6.974
angles: 90.00 90.00 90.00
Space group I-4m2 (No. 119)
Symmetry-distinct sites (fractional):
As  0.000  0.000  0.000 (multiplicity 2)
As  0.000  0.500  0.250 (multiplicity 2)
Se  0.000  0.000  0.500 (multiplicity 2)
Br  0.000  0.500  0.750 (multiplicity 2)

=====

12.
DFT (PBE) results for CrFeSn3 after structural relaxation.

Properties
Excess energy over the best structure of this formula in the dataset in meV/atom: 0
Energy of formation in meV/atom: 517

abc: 4.918 4.918 4.918
angles: 90.00 90.00 90.00
Space group Pm-3m (No. 221)
Symmetry-distinct sites (fractional):
Cr  0.000  0.000  0.000 (multiplicity 1)
Fe  0.500  0.500  0.500 (multiplicity 1)
Sn  0.000  0.500  0.500 (multiplicity 3)

=====

13.
DFT (PBE) results for Tb2Cd13 after structural relaxation.

Properties
Energy of formation in meV/atom: -24

abc: 7.8872 7.8872 20.9591
angles: 90.00 90.00 120.00
Space group R-3m (No. 166, hexagonal axes)
Symmetry-distinct sites (fractional):
Tb  0.0000  0.0000  0.1555 (multiplicity 6)
Cd  0.0000  0.0000  0.0000 (multiplicity 3)
Cd  0.0740  0.5370  0.3855 (multiplicity 18)
Cd  0.0891  0.5445  0.2327 (multiplicity 18)

=====

14.
DFT (PBE) results for Ca5PmGa6 after structural relaxation.

Properties
Energy of formation in meV/atom: -461

abc: 8.960 15.641 5.202
angles: 90.00 125.47 90.00
Space group C2/m (No. 12)
Symmetry-distinct sites (fractional):
Ca  0.000  0.000  0.000 (multiplicity 2)
Ca  0.000  0.166  0.500 (multiplicity 4)
Ca  0.000  0.329  0.000 (multiplicity 4)
Pm  0.000  0.500  0.500 (multiplicity 2)
Ga  0.249  0.500  0.249 (multiplicity 4)
Ga  0.250  0.165  0.251 (multiplicity 8)

=====

15.
DFT (PBE) results for LaEr2TeO8 after structural relaxation.

Properties
Energy relative to the elements, uncorrected in meV/atom: -2533

abc: 7.008 7.091 7.102
angles: 90.00 90.00 90.00
Space group Cmmm (No. 65)
Symmetry-distinct sites (fractional):
La  0.000  0.000  0.000 (multiplicity 2)
Er  0.000  0.500  0.263 (multiplicity 4)
Te  0.000  0.000  0.500 (multiplicity 2)
O  0.000  0.186  0.297 (multiplicity 8)
O  0.176  0.500  0.000 (multiplicity 4)
O  0.220  0.500  0.500 (multiplicity 4)

=====

16.
DFT (PBE) results for NiSn3H after structural relaxation.

Properties
Excess energy over the best structure of this formula in the dataset in meV/atom: 0

abc: 4.570 4.570 4.570
angles: 90.00 90.00 90.00
Space group Pm-3m (No. 221)
Symmetry-distinct sites (fractional):
Ni  0.000  0.000  0.000 (multiplicity 1)
Sn  0.000  0.500  0.500 (multiplicity 3)
H  0.500  0.500  0.500 (multiplicity 1)

=====

17.
DFT (PBE) results for TbEr4N4 after structural relaxation.

Properties
Energy relative to the elements, uncorrected in meV/atom: -1550

abc: 7.754 7.754 4.856
angles: 90.00 90.00 90.00
Space group I4/m (No. 87)
Symmetry-distinct sites (fractional):
Tb  0.000  0.000  0.000 (multiplicity 2)
Er  0.109  0.687  0.500 (multiplicity 8)
N  0.100  0.699  0.000 (multiplicity 8)

=====

18.
DFT (PBE) results for Tl4CuCl5 after structural relaxation.

Properties
Energy relative to the elements, uncorrected in meV/atom: -835

abc: 17.873 4.501 12.632
angles: 90.00 134.93 90.00
Space group C2/m (No. 12)
Symmetry-distinct sites (fractional):
Tl  0.092  0.000  0.355 (multiplicity 4)
Tl  0.236  0.000  0.827 (multiplicity 4)
Cu  0.000  0.500  0.500 (multiplicity 2)
Cl  0.000  0.000  0.500 (multiplicity 2)
Cl  0.106  0.500  0.813 (multiplicity 4)
Cl  0.206  0.500  0.600 (multiplicity 4)

=====

19.
DFT (PBE) results for Tb6YTm4 after structural relaxation.

Properties
Excess energy over the best structure of this formula in the dataset in meV/atom: 0
Energy of formation in meV/atom: 123

abc: 5.659 9.613 25.543
angles: 90.00 90.00 90.00
Space group Cmcm (No. 63)
Symmetry-distinct sites (fractional):
Tb  0.000  0.000  0.000 (multiplicity 4)
Tb  0.000  0.021  0.250 (multiplicity 4)
Tb  0.000  0.315  0.603 (multiplicity 8)
Tb  0.000  0.354  0.181 (multiplicity 8)
Y  0.000  0.314  0.750 (multiplicity 4)
Tm  0.000  0.022  0.122 (multiplicity 8)
Tm  0.000  0.341  0.043 (multiplicity 8)

=====

20.
DFT (PBE) results for Ba3HgAu2O6 after structural relaxation.

Properties
Energy relative to the elements, uncorrected in meV/atom: -1086

abc: 6.1583 6.1583 6.9252
angles: 90.00 90.00 120.00
Space group P-3m1 (No. 164)
Symmetry-distinct sites (fractional):
Ba  0.0000  0.0000  0.0000 (multiplicity 1)
Ba  0.3333  0.6667  0.6243 (multiplicity 2)
Hg  0.0000  0.0000  0.5000 (multiplicity 1)
Au  0.3333  0.6667  0.1222 (multiplicity 2)
O  0.1682  0.3364  0.3088 (multiplicity 6)

=====

21.
DFT (PBE) results for Ca2ZnO2F2 after structural relaxation.

Properties
Energy relative to the elements, uncorrected in meV/atom: -2751

abc: 3.968 3.968 12.207
angles: 90.00 90.00 90.00
Space group I4/mmm (No. 139)
Symmetry-distinct sites (fractional):
Ca  0.000  0.000  0.123 (multiplicity 4)
Zn  0.000  0.000  0.500 (multiplicity 2)
O  0.000  0.500  0.000 (multiplicity 4)
F  0.000  0.000  0.306 (multiplicity 4)

=====

22.
DFT (PBE) results for Mn2CrRu after structural relaxation.

Properties
Energy of formation in meV/atom: 104

abc: 2.914 2.914 5.798
angles: 90.00 90.00 90.00
Space group P4mm (No. 99)
Symmetry-distinct sites (fractional):
Mn  0.000  0.000  0.000 (multiplicity 1)
Mn  0.500  0.500  0.242 (multiplicity 1)
Cr  0.500  0.500  0.782 (multiplicity 1)
Ru  0.000  0.000  0.513 (multiplicity 1)

=====

23.
DFT (PBE) results for KYAu2 after structural relaxation.

Properties
Excess energy over the best structure of this formula in the dataset in meV/atom: 305
Energy of formation in meV/atom: -276

abc: 4.226 4.498 6.195
angles: 90.00 90.00 90.00
Space group Pmm2 (No. 25)
Symmetry-distinct sites (fractional):
K  0.000  0.000  0.000 (multiplicity 1)
Y  0.500  0.500  0.499 (multiplicity 1)
Au  0.000  0.000  0.500 (multiplicity 1)
Au  0.500  0.500  0.999 (multiplicity 1)

=====

24.
DFT (PBE) results for ZrBeAl2 after structural relaxation.

Properties
Energy of formation in meV/atom: -365

abc: 3.963 3.963 4.011
angles: 90.00 90.00 90.00
Space group P4/mmm (No. 123)
Symmetry-distinct sites (fractional):
Zr  0.000  0.000  0.000 (multiplicity 1)
Be  0.500  0.500  0.000 (multiplicity 1)
Al  0.000  0.500  0.500 (multiplicity 2)

=====

What density values result from the calculations? In sequence: 9.12 5.98 7.60 6.75 7.61 1.91 11.22 8.51 7.03 8.71 6.13 6.48 7.85 4.27 6.86 7.24 10.05 4.89 8.21 8.05 3.72 8.87 7.36 4.06 Mg/m³.
What total energy values result from the calculations? In sequence: -7.3480 -3.9377 -2.4364 -4.4626 -4.2603 -1.4086 -5.7453 -4.9679 -4.2587 -4.8103 -3.0511 -5.5020 -1.4349 -3.2045 -7.2710 -3.7791 -7.7929 -3.1146 -4.6161 -4.6176 -5.4557 -9.2056 -3.8047 -5.3046 eV/atom.